VASP calculation (GGA+U) on a relaxed TcNiN2F crystal.

Calculated values
Magnetization = 0.19 μB per formula unit
Space group = P4/mmm
DOS at the Fermi energy = 8.5 states/eV per cell
Polymorph energy (0 for the lowest one) = 0.000 eV/atom
Total energy = -28.1 eV/cell

Cell: 3.844 3.844 4.096 Å, 90.00 90.00 90.00°
Site moments in Bohr magnetons follow the coordinates.
Fractional positions:
Tc (0.000, 0.000, 0.000)  0.01
F (0.000, 0.000, 0.500)  0.00
N (0.500, 0.000, 0.000)  -0.02
N (0.000, 0.500, 0.000)  -0.02
Ni (0.500, 0.500, 0.500)  -0.16